# PBE Nd2SmAl2, optimized geometry
data_Nd2SmAl2
_chemical_formula_sum 'Nd4 Sm2 Al4'
_space_group_name_H-M_alt 'P 1'
_space_group_IT_number 1
_cell_length_a 3.759
_cell_length_b 6.268
_cell_length_c 12.864
_cell_angle_alpha 83.43
_cell_angle_beta 90.00
_cell_angle_gamma 90.00
loop_
_space_group_symop_operation_xyz
'x,y,z'
loop_
_atom_site_label
_atom_site_fract_x
_atom_site_fract_y
_atom_site_fract_z
Al1 0.250 0.712 0.627
Al2 0.250 0.351 0.983
Al3 0.750 0.649 0.017
Al4 0.750 0.288 0.373
Sm1 0.750 0.463 0.789
Sm2 0.250 0.537 0.211
Nd1 0.750 0.775 0.429
Nd2 0.250 0.926 0.861
Nd3 0.250 0.225 0.571
Nd4 0.750 0.074 0.139
# Energy relative to the lowest polymorph listed for this composition   0.172 eV/atom
# Space group   P2_1/m, No. 11
# ΔE_f   -131 meV/atom
# E   -4.4791 eV per atom